Arrangement i

RbSc3Os | PBE | optimized geometry

Cell lengths 4.804, 4.804, 4.804 Å; angles 90.00, 90.00, 90.00 degrees
Last column: magnetic moment on the atom in μB.
Positions (direct):
Os: 0.500 0.500 0.500  0.57
Rb: 0.000 0.000 0.000  0.01
Sc: 0.000 0.000 0.500  -0.01
Sc: 0.500 0.000 0.000  -0.02
Sc: 0.000 0.500 0.000  0.00

For the density of states at the Fermi level, the calculation gives 5.95 states/eV per cell.



Arrangement ii

RbSc3Os | PBE | optimized geometry

Cell lengths 5.238, 5.238, 5.238 Å; angles 90.00, 90.00, 90.00 degrees
Positions (direct):
Sc: 0.500 0.000 0.000
Sc: 0.000 0.000 0.500
Sc: 0.000 0.500 0.000
Rb: 0.500 0.500 0.500
Os: 0.000 0.000 0.000

For the density of states at the Fermi level, the calculation gives 1.66 states/eV per cell.



The most stable of them is arrangement ii.



Arrangement i

RbScOs3 | PBE | optimized geometry

Cell lengths 4.722, 4.722, 4.722 Å; angles 90.00, 90.00, 90.00 degrees
Positions (direct):
Sc: 0.500 0.500 0.500
Os: 0.000 0.000 0.500
Os: 0.000 0.500 0.000
Os: 0.500 0.000 0.000
Rb: 0.000 0.000 0.000

For the density of states at the Fermi level, the calculation gives 7.78 states/eV per cell.



Arrangement ii

RbScOs3 | PBE | optimized geometry

Cell lengths 4.908, 4.908, 4.908 Å; angles 90.00, 90.00, 90.00 degrees
Last column: magnetic moment on the atom in μB.
Positions (direct):
Sc: 0.000 0.000 0.000  -0.10
Os: 0.000 0.000 0.500  0.97
Os: 0.500 0.000 0.000  0.69
Os: 0.000 0.500 0.000  0.96
Rb: 0.500 0.500 0.500  0.01

For the density of states at the Fermi level, the calculation gives 5.94 states/eV per cell.



The most stable of them is arrangement ii.



Arrangement i

RbSc2Os | PBE | optimized geometry

Cell lengths 10.534, 10.534, 10.534 Å; angles 21.79, 21.79, 21.79 degrees
Positions (direct):
Os: 0.500 0.500 0.500
Sc: 0.127 0.127 0.127
Sc: 0.873 0.873 0.873
Rb: 0.000 0.000 0.000

For the density of states at the Fermi level, the calculation gives 2.73 states/eV per cell.



Arrangement ii

RbSc2Os | PBE | optimized geometry

Cell lengths 4.967, 4.967, 4.967 Å; angles 60.00, 60.00, 60.00 degrees
Positions (direct):
Sc: 0.250 0.250 0.250
Sc: 0.750 0.750 0.750
Rb: 0.000 0.000 0.000
Os: 0.500 0.500 0.500

For the density of states at the Fermi level, the calculation gives 4.86 states/eV per cell.



The most stable of them is arrangement i.



Arrangement i

RbOs3Se | PBE | optimized geometry

Cell lengths 4.713, 4.713, 4.713 Å; angles 90.00, 90.00, 90.00 degrees
Last column: magnetic moment on the atom in μB.
Positions (direct):
Os: 0.000 0.500 0.000  0.36
Os: 0.000 0.000 0.500  0.20
Os: 0.500 0.000 0.000  0.31
Rb: 0.500 0.500 0.500  0.00
Se: 0.000 0.000 0.000  -0.01

For the density of states at the Fermi level, the calculation gives 8.69 states/eV per cell.



Arrangement ii

RbOs3Se | PBE | optimized geometry

Cell lengths 4.873, 4.873, 4.873 Å; angles 90.00, 90.00, 90.00 degrees
Last column: magnetic moment on the atom in μB.
Positions (direct):
Os: 0.000 0.500 0.000  1.85
Os: 0.000 0.000 0.500  1.55
Os: 0.500 0.000 0.000  1.76
Se: 0.500 0.500 0.500  0.09
Rb: 0.000 0.000 0.000  0.03

For the density of states at the Fermi level, the calculation gives 7.37 states/eV per cell.



The most stable of them is arrangement i.



Arrangement i

RbSi2Os | PBE | optimized geometry

Cell lengths 4.658, 4.658, 4.658 Å; angles 60.00, 60.00, 60.00 degrees
Positions (direct):
Si: 0.750 0.750 0.750
Si: 0.250 0.250 0.250
Os: 0.500 0.500 0.500
Rb: 0.000 0.000 0.000

For the density of states at the Fermi level, the calculation gives 2.27 states/eV per cell.



Arrangement ii

RbSi2Os | PBE | optimized geometry

Cell lengths 6.301, 6.301, 7.799 Å; angles 66.17, 66.17, 90.00 degrees
Positions (direct):
Si: 0.875 0.125 0.250
Si: 0.875 0.625 0.250
Si: 0.875 0.125 0.750
Si: 0.375 0.125 0.750
Os: 0.750 0.250 0.500
Os: 0.000 0.000 0.000
Rb: 0.250 0.750 0.500
Rb: 0.500 0.500 0.000

For the density of states at the Fermi level, the calculation gives 2.65 states/eV per cell.



The most stable of them is arrangement ii.



Arrangement i

RbSiOs3 | PBE | optimized geometry

Cell lengths 4.763, 4.763, 4.763 Å; angles 90.00, 90.00, 90.00 degrees
Last column: magnetic moment on the atom in μB.
Positions (direct):
Si: 0.500 0.500 0.500  -0.01
Os: 0.500 0.000 0.000  0.53
Os: 0.000 0.000 0.500  0.46
Os: 0.000 0.500 0.000  0.57
Rb: 0.000 0.000 0.000  0.05

For the density of states at the Fermi level, the calculation gives 10.51 states/eV per cell.



Arrangement ii

RbSiOs3 | PBE | optimized geometry

Cell lengths 4.610, 4.610, 4.610 Å; angles 90.00, 90.00, 90.00 degrees
Last column: magnetic moment on the atom in μB.
Positions (direct):
Rb: 0.500 0.500 0.500  0.02
Os: 0.500 0.000 0.000  0.50
Os: 0.000 0.000 0.500  0.77
Os: 0.000 0.500 0.000  0.80
Si: 0.000 0.000 0.000  -0.02

For the density of states at the Fermi level, the calculation gives 4.28 states/eV per cell.



The most stable of them is arrangement ii.



Arrangement i

RbSn2Os | PBE | optimized geometry

Cell lengths 6.916, 6.916, 8.721 Å; angles 66.64, 66.64, 90.00 degrees
Positions (direct):
Sn: 0.875 0.625 0.250
Sn: 0.375 0.125 0.750
Sn: 0.875 0.125 0.250
Sn: 0.875 0.125 0.750
Os: 0.000 0.000 0.000
Os: 0.750 0.250 0.500
Rb: 0.250 0.750 0.500
Rb: 0.500 0.500 0.000

For the density of states at the Fermi level, the calculation gives 3.47 states/eV per cell.



Arrangement ii

RbSn2Os | PBE | optimized geometry

Cell lengths 5.054, 5.054, 5.054 Å; angles 60.00, 60.00, 60.00 degrees
Positions (direct):
Os: 0.500 0.500 0.500
Sn: 0.250 0.250 0.250
Sn: 0.750 0.750 0.750
Rb: 0.000 0.000 0.000

For the density of states at the Fermi level, the calculation gives 2.65 states/eV per cell.



The most stable of them is arrangement i.



Arrangement i

Rb2SrOs | PBE | optimized geometry

Cell lengths 5.980, 5.980, 5.980 Å; angles 60.00, 60.00, 60.00 degrees
Last column: magnetic moment on the atom in μB.
Positions (direct):
Rb: 0.250 0.250 0.250  0.00
Rb: 0.750 0.750 0.750  0.00
Sr: 0.000 0.000 0.000  -0.05
Os: 0.500 0.500 0.500  1.82

For the density of states at the Fermi level, the calculation gives 1.41 states/eV per cell.



Arrangement ii

Rb2SrOs | PBE | optimized geometry

Cell lengths 4.764, 4.764, 13.515 Å; angles 79.85, 79.85, 90.00 degrees
Last column: magnetic moment on the atom in μB.
Positions (direct):
Os: 0.000 0.000 0.000  1.29
Os: 0.750 0.250 0.500  1.29
Sr: 0.250 0.750 0.500  -0.05
Sr: 0.500 0.500 0.000  -0.05
Rb: 0.375 0.358 0.750  -0.03
Rb: 0.642 0.125 0.250  -0.03
Rb: 0.108 0.625 0.250  -0.03
Rb: 0.875 0.892 0.750  -0.03

For the density of states at the Fermi level, the calculation gives 10.08 states/eV per cell.



The most stable of them is arrangement ii.



Arrangement i

Rb3SrOs | PBE | optimized geometry

Cell lengths 8.094, 8.094, 8.094 Å; angles 90.00, 90.00, 90.00 degrees
Last column: magnetic moment on the atom in μB.
Positions (direct):
Os: 0.500 0.500 0.500  2.90
Rb: 0.000 0.000 0.500  0.00
Rb: 0.500 0.000 0.000  0.01
Rb: 0.000 0.500 0.000  0.01
Sr: 0.000 0.000 0.000  0.02

For the density of states at the Fermi level, the calculation gives 9.79 states/eV per cell.



Arrangement ii

Rb3SrOs | PBE | optimized geometry

Cell lengths 6.654, 6.654, 6.654 Å; angles 90.00, 90.00, 90.00 degrees
Last column: magnetic moment on the atom in μB.
Positions (direct):
Rb: 0.000 0.500 0.000  -0.01
Rb: 0.000 0.000 0.500  -0.02
Rb: 0.500 0.000 0.000  -0.01
Sr: 0.500 0.500 0.500  -0.06
Os: 0.000 0.000 0.000  1.95

For the density of states at the Fermi level, the calculation gives 3.07 states/eV per cell.



The most stable of them is arrangement ii.



Arrangement i

RbSrOs2 | PBE | optimized geometry

Cell lengths 5.227, 5.227, 5.227 Å; angles 60.00, 60.00, 60.00 degrees
Last column: magnetic moment on the atom in μB.
Positions (direct):
Os: 0.750 0.750 0.750  1.51
Os: 0.250 0.250 0.250  1.51
Rb: 0.000 0.000 0.000  0.03
Sr: 0.500 0.500 0.500  -0.01

For the density of states at the Fermi level, the calculation gives 8.36 states/eV per cell.



Arrangement ii

RbSrOs2 | PBE | optimized geometry

Cell lengths 4.477, 4.477, 11.401 Å; angles 78.68, 78.68, 90.00 degrees
Positions (direct):
Rb: 0.250 0.750 0.500
Rb: 0.500 0.500 0.000
Sr: 0.000 0.000 0.000
Sr: 0.750 0.250 0.500
Os: 0.875 0.007 0.750
Os: 0.375 0.243 0.750
Os: 0.993 0.625 0.250
Os: 0.757 0.125 0.250

For the density of states at the Fermi level, the calculation gives 7.89 states/eV per cell.



The most stable of them is arrangement ii.



Arrangement i

RbTaOs2 | PBE | optimized geometry

Cell lengths 5.075, 5.075, 9.430 Å; angles 74.39, 74.39, 90.00 degrees
Positions (direct):
Os: 0.899 0.625 0.250
Os: 0.375 0.149 0.750
Os: 0.875 0.101 0.750
Os: 0.851 0.125 0.250
Rb: 0.500 0.500 0.000
Rb: 0.250 0.750 0.500
Ta: 0.000 0.000 0.000
Ta: 0.750 0.250 0.500

For the density of states at the Fermi level, the calculation gives 6.56 states/eV per cell.



Arrangement ii

RbTaOs2 | PBE | optimized geometry

Cell lengths 4.700, 4.700, 4.700 Å; angles 60.00, 60.00, 60.00 degrees
Positions (direct):
Os: 0.750 0.750 0.750
Os: 0.250 0.250 0.250
Ta: 0.500 0.500 0.500
Rb: 0.000 0.000 0.000

For the density of states at the Fermi level, the calculation gives 2.96 states/eV per cell.



The most stable of them is arrangement ii.



Arrangement i

RbTcOs3 | PBE | optimized geometry

Cell lengths 4.805, 4.805, 4.805 Å; angles 90.00, 90.00, 90.00 degrees
Last column: magnetic moment on the atom in μB.
Positions (direct):
Tc: 0.000 0.000 0.000  -0.02
Os: 0.500 0.000 0.000  0.18
Os: 0.000 0.000 0.500  0.12
Os: 0.000 0.500 0.000  0.24
Rb: 0.500 0.500 0.500  0.00

For the density of states at the Fermi level, the calculation gives 7.20 states/eV per cell.



Arrangement ii

RbTcOs3 | PBE | optimized geometry

Cell lengths 4.612, 4.612, 4.612 Å; angles 90.00, 90.00, 90.00 degrees
Positions (direct):
Os: 0.500 0.000 0.000
Os: 0.000 0.500 0.000
Os: 0.000 0.000 0.500
Tc: 0.500 0.500 0.500
Rb: 0.000 0.000 0.000

For the density of states at the Fermi level, the calculation gives 13.97 states/eV per cell.



The most stable of them is arrangement i.



Arrangement i

RbTc3Os | PBE | optimized geometry

Cell lengths 4.865, 4.865, 4.865 Å; angles 90.00, 90.00, 90.00 degrees
Last column: magnetic moment on the atom in μB.
Positions (direct):
Tc: 0.000 0.000 0.500  1.26
Tc: 0.000 0.500 0.000  1.18
Tc: 0.500 0.000 0.000  0.80
Os: 0.000 0.000 0.000  -0.18
Rb: 0.500 0.500 0.500  0.01

For the density of states at the Fermi level, the calculation gives 6.31 states/eV per cell.



Arrangement ii

RbTc3Os | PBE | optimized geometry

Cell lengths 4.536, 4.536, 4.536 Å; angles 90.00, 90.00, 90.00 degrees
Positions (direct):
Tc: 0.500 0.000 0.000
Tc: 0.000 0.500 0.000
Tc: 0.000 0.000 0.500
Rb: 0.000 0.000 0.000
Os: 0.500 0.500 0.500

For the density of states at the Fermi level, the calculation gives 7.48 states/eV per cell.



The most stable of them is arrangement i.



Arrangement i

Rb2TlOs | PBE | optimized geometry

Cell lengths 5.874, 5.874, 5.874 Å; angles 60.00, 60.00, 60.00 degrees
Last column: magnetic moment on the atom in μB.
Positions (direct):
Tl: 0.500 0.500 0.500  -0.10
Rb: 0.750 0.750 0.750  -0.01
Rb: 0.250 0.250 0.250  -0.01
Os: 0.000 0.000 0.000  1.91

For the density of states at the Fermi level, the calculation gives 7.35 states/eV per cell.



Arrangement ii

Rb2TlOs | PBE | optimized geometry

Cell lengths 4.359, 4.359, 12.639 Å; angles 80.07, 80.07, 90.00 degrees
Last column: magnetic moment on the atom in μB.
Positions (direct):
Rb: 0.129 0.625 0.250  -0.01
Rb: 0.621 0.125 0.250  -0.01
Rb: 0.875 0.871 0.750  -0.01
Rb: 0.375 0.379 0.750  -0.01
Tl: 0.000 0.000 0.000  -0.03
Tl: 0.750 0.250 0.500  -0.03
Os: 0.500 0.500 0.000  0.98
Os: 0.250 0.750 0.500  0.97

For the density of states at the Fermi level, the calculation gives 2.04 states/eV per cell.



The most stable of them is arrangement ii.